Here is an optimized crystal structure of BeNbCu from Alexandria. Energies are from PBE-GGA.

Summary:
Fermi-level density of states	0.38	states/eV per atom
E_form	181	meV/atom
magnetic moment	0.000	μB/f.u.
calculated density	6.77	g/cm3

Cell: 4.183 4.183 5.219 Å, 90.00 90.00 117.23°
Fractional coordinates of all 6 atoms:
Be1 0.000 0.000 0.000
Be2 0.000 0.000 0.500
Nb1 0.346 0.654 0.750
Nb2 0.654 0.346 0.250
Cu1 0.311 0.689 0.250
Cu2 0.689 0.311 0.750


Here is an optimized crystal structure of Ba8Tl2Ni from Alexandria. Energies are from PBE-GGA.

Summary:
Fermi-level density of states	0.93	states/eV per atom
E_form	-126	meV/atom
magnetic moment	0.198	μB/f.u.
calculated density	4.59	g/cm3

Cell: 12.970 12.970 9.599 Å, 91.75 91.75 20.54°
Fractional coordinates of all 11 atoms:
Ba1 0.010 0.010 0.216
Ba2 0.239 0.239 0.714
Ba3 0.378 0.378 0.005
Ba4 0.396 0.396 0.481
Ba5 0.604 0.604 0.519
Ba6 0.622 0.622 0.995
Ba7 0.761 0.761 0.286
Ba8 0.990 0.990 0.784
Tl1 0.157 0.157 0.274
Tl2 0.843 0.843 0.726
Ni1 0.500 0.500 0.000


Here is an optimized crystal structure of NaPrDy4S8 from Alexandria. Energies are from PBE-GGA.

Summary:
Fermi-level density of states	0.00	states/eV per atom
ΔE_f (raw)	-187	kJ/mol of atoms
magnetic moment	0.000	μB/f.u.
calculated density	4.62	g/cm3

Cell: 8.221 8.221 8.221 Å, 59.13 59.13 59.13°
Fractional coordinates of all 14 atoms:
Na1 0.000 0.000 0.000
Pr1 0.631 0.631 0.631
Dy1 0.114 0.631 0.631
Dy2 0.253 0.253 0.253
Dy3 0.631 0.114 0.631
Dy4 0.631 0.631 0.114
S1 0.379 0.379 0.857
S2 0.379 0.857 0.379
S3 0.385 0.385 0.385
S4 0.409 0.872 0.872
S5 0.857 0.379 0.379
S6 0.865 0.865 0.865
S7 0.872 0.409 0.872
S8 0.872 0.872 0.409


Which formula does entry 3 have?
NaPrDy4S8


Fermi-level density of states of number 2 (Ba8Tl2Ni)?
0.93 states/eV per atom